[1]
A relaxed structure of Sr2TiF2, computed with PBE.

Cell and atoms, written as POSCAR:
```
Sr2TiF2
1.0
8.3141 0.0000 0.0000
0.0000 8.3141 0.0000
0.0000 0.0000 3.3713
Sr Ti F
4 2 4
direct
0.1462 0.3538 0.0000
0.3538 0.8538 0.0000
0.6462 0.1462 0.0000
0.8538 0.6462 0.0000
0.0000 0.0000 0.5000
0.5000 0.5000 0.5000
0.1050 0.6050 0.5000
0.3950 0.1050 0.5000
0.6050 0.8950 0.5000
0.8950 0.3950 0.5000
```

Computed properties:
* raw total energy: -0.1632 Ha/atom
* spin magnetization: 7.9 Bohr magnetons per cell
* space-group type: P4/mbm, No. 127

[2]
A relaxed structure of Pm5Nd4In, computed with PBE.

Cell and atoms, written as POSCAR:
```
Pm5Nd4In
1.0
-5.3889 5.3889 3.0231
5.3889 -5.3889 3.0231
5.3889 5.3889 -3.0231
Pm Nd In
5 4 1
direct
0.0000 0.0000 0.0000
0.0996 0.0996 0.6275
0.0996 0.4721 0.0000
0.4721 0.0996 0.0000
0.4721 0.4721 0.3725
0.1033 0.7921 0.3113
0.4808 0.7921 0.6887
0.7921 0.1033 0.3113
0.7921 0.4808 0.6887
0.5196 0.5196 0.0000
```

Computed properties:
* energy of formation from the pure elements: 8.0 kJ/mol of atoms
* spin magnetization: 0.0 Bohr magnetons per cell
* space-group type: I4mm, No. 107